Density functional theory data (PBE) for a relaxed K2AuSe2O6 crystal.

```
K2AuSe2O6
1.0
6.229 -2.739 0.000
6.229 2.739 0.000
-4.044 0.000 6.868
K Au Se O
2 1 2 6
Cartesian
1.644 0.000 1.911
6.771 0.000 4.957
-2.022 0.000 3.434
5.095 0.000 1.310
3.321 0.000 5.558
4.098 1.364 1.761
4.317 1.364 5.107
1.955 0.000 4.553
6.461 0.000 2.315
4.098 -1.364 1.761
4.317 -1.364 5.107
```

DOS at the Fermi energy: 0.10 states/eV/atom
V: 21.31 Å³/atom
theoretical density: 3.75 g/cm³
symmetry: No. 12
magnetization: 1.0 μB/f.u.
formation energy (no corrections): -10.6 eV/f.u.

Density functional theory data (PBE) for a relaxed K8Au2SeO crystal.

```
K8Au2SeO
1.0
7.593 0.000 0.000
0.000 8.860 0.000
-0.374 0.000 7.651
K Au Se O
8 2 1 1
Cartesian
1.410 1.876 1.272
1.410 6.984 1.272
1.349 0.000 5.726
1.938 4.430 5.265
5.280 4.430 2.386
5.870 0.000 1.925
5.809 1.876 6.379
5.809 6.984 6.379
3.609 1.501 3.826
3.609 7.358 3.826
0.000 4.430 0.000
0.000 0.000 0.000
```

DOS at the Fermi energy: 0.27 states/eV/atom
V: 42.89 Å³/atom
theoretical density: 2.59 g/cm³
symmetry: No. 10
magnetization: 0.0 μB/f.u.
formation energy (no corrections): -7.2 eV/f.u.